(1)
A plane-wave DFT calculation with PBE was carried out for an optimized crystal structure of KZnPt.

Calculated values
- crystal system = tetragonal
- formation enthalpy at 0 K (meV/atom) = -199
- total moment (μB/cell) = 0.00
- distance to the lowest polymorph of the same formula (meV per atom) = 74.4

abc: 6.394 6.394 3.539
angles: 73.93 73.93 32.14
Fractional coordinates of all 3 atoms:
Zn 0.734 0.734 0.266
Pt 0.269 0.269 0.731
K 0.996 0.996 0.004

(2)
A plane-wave DFT calculation with PBE was carried out for an optimized crystal structure of ErTi2F8.

Calculated values
- E_tot (eV per atom) = -6.57
- crystal system = monoclinic
- total moment (μB/cell) = 1.01

abc: 5.263 5.890 5.890
angles: 54.62 96.88 96.88
Fractional coordinates of all 11 atoms:
F 0.723 0.130 0.130
Ti 0.512 0.734 0.734
Er 0.000 0.000 0.000
F 0.253 0.384 0.384
F 0.277 0.870 0.870
F 0.255 0.375 0.897
F 0.255 0.897 0.375
F 0.745 0.103 0.625
F 0.747 0.616 0.616
F 0.745 0.625 0.103
Ti 0.488 0.266 0.266

Which formula does entry 1 have?
KZnPt

Among the records above, which one has the highest total moment?
ErTi2F8

The lowest total moment belongs to which entry?
KZnPt